Computed, not measured: a relaxed LaDy5Tm2Th crystal at the PBE-GGA level of DFT.

a = 10.369 Å, b = 10.369 Å, c = 10.396 Å
α = 90.00°, β = 90.00°, γ = 148.52°
Fractional coordinates of all 18 atoms:
1 La 0.086 0.914 0.500
2 La 0.914 0.086 0.000
3 Dy 0.023 0.977 0.794
4 Dy 0.114 0.886 0.085
5 Dy 0.204 0.796 0.768
6 Dy 0.225 0.775 0.379
7 Dy 0.484 0.516 0.083
8 Dy 0.516 0.484 0.583
9 Dy 0.775 0.225 0.879
10 Dy 0.796 0.204 0.268
11 Dy 0.886 0.114 0.585
12 Dy 0.977 0.023 0.294
13 Tm 0.386 0.614 0.791
14 Tm 0.388 0.612 0.377
15 Tm 0.612 0.388 0.877
16 Tm 0.614 0.386 0.291
17 Th 0.301 0.699 0.076
18 Th 0.699 0.301 0.576

Symmetry = Cmc2_1 (36)



Computed, not measured: a relaxed LiNdSmGa crystal at the PBE-GGA level of DFT.

a = 5.230 Å, b = 5.230 Å, c = 5.230 Å
α = 60.00°, β = 60.00°, γ = 60.00°
Fractional coordinates of all 4 atoms:
1 Li 0.000 0.000 0.000
2 Nd 0.250 0.250 0.250
3 Sm 0.750 0.750 0.750
4 Ga 0.500 0.500 0.500

Symmetry = F-43m (216)



Final energy list, top to bottom, in eV per atom: -4.750, -3.904